(1)
5
Lattice="5.823 0.000 0.000 0.000 5.823 0.000 0.000 0.000 5.823" Properties=species:S:1:pos:R:3 comment="Na3AlIn | the Alexandria database | GGA-PBE | relaxed" e_above_lowest_polymorph_ev_per_atom=0.088 e_form_mev_per_atom=506 final_energy_ev_per_cell=-7.91 space_group="Pm-3m, No. 221" pbc="T T T"
Na 0.000 0.000 2.912
Na 0.000 2.912 0.000
Na 2.912 0.000 0.000
Al 2.912 2.912 2.912
In 0.000 0.000 0.000

(2)
8
Lattice="5.942 0.000 0.000 0.000 4.101 0.000 -2.684 0.000 8.149" Properties=species:S:1:pos:R:3 comment="Er2ZnSb | the Alexandria database | GGA-PBE | relaxed" e_above_lowest_polymorph_ev_per_atom=0.000 final_energy_ev_per_cell=-34.42 space_group="P2_1/m, No. 11" pbc="T T T"
Er 0.038 1.025 3.461
Er 1.472 3.075 0.522
Er 1.785 1.025 7.627
Er 3.219 3.075 4.688
Zn -1.437 1.025 6.469
Zn 4.695 3.075 1.679
Sb 0.333 3.075 5.774
Sb 2.925 1.025 2.375

(3)
9
Lattice="4.105 -5.545 0.000 4.105 5.545 0.000 -2.009 0.000 6.878" Properties=species:S:1:pos:R:3 comment="RbCuAsBr6 | the Alexandria database | GGA-PBE | relaxed" final_energy_ev_per_cell=-25.64 space_group="C2, No. 5" pbc="T T T"
Rb 0.000 0.000 0.000
Cu 3.101 -3.090 3.439
As 3.101 0.902 3.439
Br 2.458 2.437 1.633
Br 0.511 0.710 4.243
Br 3.744 2.437 5.245
Br 2.719 -1.509 1.683
Br 5.690 0.710 2.634
Br 3.483 -1.509 5.195

(4)
12
Lattice="6.454 0.000 0.000 -3.227 5.590 0.000 0.000 0.000 9.421" Properties=species:S:1:pos:R:3 comment="CsCu3Cl8 | the Alexandria database | GGA-PBE | relaxed" final_energy_ev_per_cell=-35.85 space_group="P-3, No. 147" pbc="T T T"
Cs 0.000 0.000 0.000
Cu 0.000 0.000 4.711
Cu 0.000 3.726 6.690
Cu 3.227 1.863 2.732
Cl -2.143 4.022 6.113
Cl 0.815 1.723 6.113
Cl 1.900 0.155 3.309
Cl 0.000 3.726 8.888
Cl 3.227 1.863 0.533
Cl 1.328 5.434 6.113
Cl 2.412 3.867 3.309
Cl 5.370 1.567 3.309

(5)
38
Lattice="8.889 0.000 0.000 -4.444 7.698 0.000 0.000 0.000 9.549" Properties=species:S:1:pos:R:3 comment="Ce3Al12Ru4 | the Alexandria database | GGA-PBE | relaxed" e_form_mev_per_atom=-650 final_energy_ev_per_cell=-224.32 space_group="P6_3/mmc, No. 194" pbc="T T T"
Ce 0.000 2.984 2.387
Ce -1.860 6.206 2.387
Ce 2.584 1.492 7.162
Ce 1.860 6.206 2.387
Ce 6.304 1.492 7.162
Ce 4.444 4.713 7.162
Al 0.000 0.000 2.387
Al 0.000 0.000 7.162
Al -1.393 4.327 7.162
Al 0.000 2.499 5.517
Al 0.000 2.499 8.807
Al -2.280 6.448 5.517
Al -2.280 6.448 8.807
Al 2.164 1.250 0.742
Al 2.164 1.250 4.032
Al 0.000 5.132 0.154
Al 0.000 5.132 4.620
Al 1.393 4.327 7.162
Al 0.000 6.741 7.162
Al 4.444 0.957 2.387
Al 3.051 3.370 2.387
Al 4.444 2.566 4.929
Al 4.444 2.566 9.394
Al 2.280 6.448 5.517
Al 2.280 6.448 8.807
Al 6.724 1.250 0.742
Al 6.724 1.250 4.032
Al 4.444 5.199 0.742
Al 4.444 5.199 4.032
Al 5.838 3.370 2.387
Ru 0.000 0.000 0.000
Ru 0.000 0.000 4.774
Ru -2.222 3.849 0.000
Ru -2.222 3.849 4.774
Ru 4.444 0.000 0.000
Ru 4.444 0.000 4.774
Ru 2.222 3.849 0.000
Ru 2.222 3.849 4.774

(6)
5
Lattice="4.829 0.000 0.000 0.000 4.829 0.000 0.000 0.000 4.829" Properties=species:S:1:pos:R:3 comment="Ta3CuOs | the Alexandria database | GGA-PBE | relaxed" e_above_lowest_polymorph_ev_per_atom=0.000 e_form_mev_per_atom=1337 final_energy_ev_per_cell=-44.20 space_group="Pm-3m, No. 221" pbc="T T T"
Ta 0.000 0.000 2.415
Ta 0.000 2.415 0.000
Ta 2.415 0.000 0.000
Cu 2.415 2.415 2.415
Os 0.000 0.000 0.000

(7)
12
Lattice="-2.078 3.437 6.229 2.078 -3.437 6.229 2.078 3.437 -6.229" Properties=species:S:1:pos:R:3 comment="Ti6NiRh5 | the Alexandria database | GGA-PBE | relaxed" e_form_mev_per_atom=-679 final_energy_ev_per_cell=-98.05 space_group="Immm, No. 71" pbc="T T T"
Ti 2.078 1.711 -2.056
Ti 0.000 1.709 0.000
Ti 2.078 1.711 2.056
Ti 0.000 1.726 4.172
Ti 0.000 5.165 0.000
Ti 0.000 1.726 8.285
Ni 2.078 0.000 0.000
Rh 0.000 0.000 1.997
Rh 2.078 0.000 4.105
Rh 0.000 0.000 6.229
Rh 0.000 3.437 2.123
Rh 0.000 0.000 10.460

(8)
4
Lattice="1.471 -2.136 0.000 1.471 2.136 0.000 0.000 0.000 9.040" Properties=species:S:1:pos:R:3 comment="Li3Ni | the Alexandria database | GGA-PBE | relaxed" e_form_mev_per_atom=59 final_energy_ev_per_cell=-11.29 space_group="Cmmm, No. 65" pbc="T T T"
Li 0.000 0.000 0.000
Li 1.471 0.000 2.555
Li 1.471 0.000 6.486
Ni 0.000 0.000 4.520